The following is a DFT calculation (GGA-PBE) of a relaxed Pm2Al3Ga4Cu crystal.

Geometry as POSCAR:
```
Pm2Al3Ga4Cu
1.0
4.2579 0.0000 0.0000
0.0000 4.2579 0.0000
0.0000 0.0000 10.7011
Ga Pm Al Cu
4 2 3 1
Direct
0.5000 0.5000 0.0000
0.0000 0.5000 0.3684
0.0000 0.0000 0.0000
0.5000 0.0000 0.6316
0.5000 0.0000 0.2516
0.0000 0.5000 0.7484
0.0000 0.0000 0.5000
0.0000 0.5000 0.1381
0.5000 0.0000 0.8619
0.5000 0.5000 0.5000
```

symmetry	P-4m2 (115)
DFT total energy	-41.150	eV for the cell shown
V	194.0	Å³/f.u.



The following is a DFT calculation (GGA-PBE) of a relaxed HfGe8Mo6 crystal.

Geometry as POSCAR:
```
HfGe8Mo6
1.0
-1.6819 -2.8722 -5.5674
3.7896 -5.2633 0.1005
-4.1579 -4.5083 2.1120
Ge Hf Mo
8 1 6
Direct
0.1791 0.6064 0.9156
0.0844 0.8209 0.3936
0.2393 0.2393 0.2393
0.9156 0.1791 0.6064
0.3936 0.0844 0.8209
0.7607 0.7607 0.7607
0.8209 0.3936 0.0844
0.6064 0.9156 0.1791
0.0000 0.0000 0.0000
0.4107 0.8003 0.5699
0.5699 0.4107 0.8003
0.5893 0.1997 0.4301
0.4301 0.5893 0.1997
0.8003 0.5699 0.4107
0.1997 0.4301 0.5893
```

symmetry	R-3 (148)
DFT total energy	-109.862	eV for the cell shown
V	259.1	Å³/f.u.



The following is a DFT calculation (GGA-PBE) of a relaxed BaSc2Cu crystal.

Geometry as POSCAR:
```
BaSc2Cu
1.0
5.6525 -0.0876 0.0000
1.6526 5.4063 0.0000
-3.6526 -2.6593 3.3979
Cu Ba Sc
1 1 2
Direct
0.7500 0.2500 0.5000
0.5000 0.5000 0.0000
0.0000 0.0000 0.0000
0.2500 0.7500 0.5000
```

symmetry	I-4m2 (119)
relative energy among the computed polymorphs	362.3	meV/atom
V	104.3	Å³/f.u.



The following is a DFT calculation (GGA-PBE) of a relaxed TaAl3V4 crystal.

Geometry as POSCAR:
```
TaAl3V4
1.0
4.0117 0.0000 0.0000
0.0000 8.3749 0.0000
0.0000 0.0000 7.0378
V Al Ta
8 6 2
Direct
0.0000 0.2468 0.2500
0.5000 0.7578 0.5000
0.0000 0.7532 0.2500
0.5000 0.2422 0.5000
0.5000 0.2422 0.0000
0.5000 0.7578 0.0000
0.0000 0.2468 0.7500
0.0000 0.7532 0.7500
0.0000 0.0000 0.5000
0.5000 0.5000 0.7500
0.5000 0.0000 0.2500
0.0000 0.0000 0.0000
0.5000 0.0000 0.7500
0.5000 0.5000 0.2500
0.0000 0.5000 0.0000
0.0000 0.5000 0.5000
```

symmetry	Pmmm (47)
DFT total energy	-121.491	eV for the cell shown
V	118.2	Å³/f.u.



The following is a DFT calculation (GGA-PBE) of a relaxed Mg4BrN2 crystal.

Geometry as POSCAR:
```
Mg4BrN2
1.0
-3.6997 -0.7090 2.8649
-2.6895 -1.0820 -3.7409
-1.5676 -6.9896 0.1550
Mg N Br
4 2 1
Direct
0.7129 0.7129 0.5742
0.5000 0.0000 0.0000
0.2871 0.2871 0.4258
0.0000 0.5000 0.0000
0.5569 0.5569 0.8861
0.4431 0.4431 0.1139
0.0000 0.0000 0.0000
```

formation energy (no corrections)	0.14	eV/atom
symmetry	I4/mmm (139)
V	141.9	Å³/f.u.



The following is a DFT calculation (GGA-PBE) of a relaxed Re2PSe crystal.

Geometry as POSCAR:
```
Re2PSe
1.0
-0.1633 -2.6439 -1.4613
2.5667 0.6503 -1.4635
3.2664 -2.7038 4.5271
Re Se P
2 1 1
Direct
0.0000 0.0000 0.2749
0.0000 0.0000 0.7251
0.5000 0.5000 0.0000
0.5000 0.5000 0.5000
```

formation energy (no corrections)	0.25	eV/atom
symmetry	P4/mmm (123)
relative energy among the computed polymorphs	216.2	meV/atom
V	56.8	Å³/f.u.



Number 1: density of states at the Fermi level 3.15 states/eV/cell. Number 2: density of states at the Fermi level 10.11 states/eV/cell. Number 3: density of states at the Fermi level 7.67 states/eV/cell. Number 4: density of states at the Fermi level 13.42 states/eV/cell. Number 5: density of states at the Fermi level 1.82 states/eV/cell. Number 6: density of states at the Fermi level 3.09 states/eV/cell.